# BaMoBr2

A relaxed BaMoBr2 crystal (PBE, Alexandria).

Cell: 5.716 5.716 5.716 Å, 60.00 60.00 60.00°
Last column: magnetic moment on the atom in μB.
Fractional coordinates of all 4 atoms:
Mo 0.750 0.750 0.750  4.09
Ba 0.500 0.500 0.500  0.20
Br 0.000 0.000 0.000  0.13
Br 0.250 0.250 0.250  0.07

Results
Formation energy (no corrections) in meV per atom: 41
Space group: F-43m (216)
Calculated total energy in eV/f.u.: -15.93
M_tot in Bohr magnetons per cell: 6.00